Entry 1:
Here is a relaxed structure of CaLa2Nd5Sm from the Alexandria database. Energies are from PBE.

## Properties
**Formation enthalpy at 0 K**: 0.2482 eV per atom
**Magnetization**: 0.00 μB per formula unit
**SG**: I4/mcm
**Calculated volume**: 36.1 Å³ per atom

Unit cell a=10.474 b=10.474 c=10.474 alpha=130.43 beta=130.43 gamma=72.73
Sites, in units of the cell vectors:
Ca 0.250 0.750 0.500
Ca 0.750 0.250 0.500
La 0.120 0.620 0.740
La 0.380 0.120 0.500
La 0.620 0.880 0.500
La 0.880 0.380 0.260
Nd 0.000 0.000 0.000
Nd 0.081 0.138 0.500
Nd 0.138 0.638 0.057
Nd 0.362 0.419 0.500
Nd 0.419 0.919 0.057
Nd 0.500 0.500 0.000
Nd 0.581 0.081 0.943
Nd 0.638 0.581 0.500
Nd 0.862 0.362 0.943
Nd 0.919 0.862 0.500
Sm 0.250 0.250 0.000
Sm 0.750 0.750 0.000

Entry 2:
Here is a relaxed structure of CaLa3Nd2Sm6 from the Alexandria database. Energies are from PBE.

## Properties
**Formation enthalpy at 0 K**: 0.0369 eV per atom
**Magnetization**: 0.00 μB per formula unit
**SG**: C2/m
**Calculated volume**: 35.3 Å³ per atom

Unit cell a=6.387 b=6.387 c=12.192 alpha=95.04 beta=95.04 gamma=120.07
Sites, in units of the cell vectors:
Ca 0.000 0.000 0.000
La 0.166 0.834 0.500
La 0.500 0.500 0.500
La 0.834 0.166 0.500
Nd 0.333 0.667 0.000
Nd 0.667 0.333 0.000
Sm 0.084 0.422 0.250
Sm 0.255 0.255 0.750
Sm 0.422 0.084 0.250
Sm 0.578 0.916 0.750
Sm 0.745 0.745 0.250
Sm 0.916 0.578 0.750

Entry 3:
Here is a relaxed structure of CaLaNdSn from the Alexandria database. Energies are from PBE.

## Properties
**Formation enthalpy at 0 K**: -0.3066 eV per atom
**Magnetization**: 0.01 μB per formula unit
**SG**: F-43m
**Calculated volume**: 31.5 Å³ per atom

Unit cell a=5.628 b=5.628 c=5.628 alpha=60.00 beta=60.00 gamma=60.00
Sites, in units of the cell vectors:
Ca 0.000 0.000 0.000
La 0.750 0.750 0.750
Nd 0.250 0.250 0.250
Sn 0.500 0.500 0.500

Entry 4:
Here is a relaxed structure of SrCaLaNd from the Alexandria database. Energies are from PBE.

## Properties
**Formation enthalpy at 0 K**: 0.1497 eV per atom
**Magnetization**: 0.00 μB per formula unit
**SG**: F-43m
**Calculated volume**: 40.9 Å³ per atom

Unit cell a=6.140 b=6.140 c=6.140 alpha=60.00 beta=60.00 gamma=60.00
Sites, in units of the cell vectors:
Sr 0.000 0.000 0.000
Ca 0.250 0.250 0.250
La 0.500 0.500 0.500
Nd 0.750 0.750 0.750

Entry 5:
Here is a relaxed structure of CaLa2Tb2Nd2 from the Alexandria database. Energies are from PBE.

## Properties
**Formation enthalpy at 0 K**: 0.0557 eV per atom
**Magnetization**: 0.00 μB per formula unit
**SG**: C2/m
**Calculated volume**: 35.6 Å³ per atom

Unit cell a=6.393 b=6.393 c=8.230 alpha=97.83 beta=97.83 gamma=48.45
Sites, in units of the cell vectors:
Ca 0.000 0.000 0.000
La 0.144 0.144 0.432
La 0.856 0.856 0.568
Tb 0.425 0.425 0.293
Tb 0.575 0.575 0.707
Nd 0.283 0.283 0.855
Nd 0.717 0.717 0.145

Entry 6:
Here is a relaxed structure of CaLaTbNd from the Alexandria database. Energies are from PBE.

## Properties
**Formation enthalpy at 0 K**: 0.0452 eV per atom
**Magnetization**: 0.00 μB per formula unit
**SG**: P4mm
**Calculated volume**: 36.3 Å³ per atom
**Energy above the lowest structure with this stoichiometry**: 0 meV/atom

Unit cell a=3.686 b=3.686 c=10.684 alpha=90.00 beta=90.00 gamma=90.00
Sites, in units of the cell vectors:
Ca 0.000 0.000 0.000
La 0.500 0.500 0.729
Tb 0.000 0.000 0.491
Nd 0.500 0.500 0.262

Going through the records in order, we get D(E_F) values of 1.429 1.585 1.291 1.014 1.659 1.556 states/eV per atom.